*w*
Computed, not measured: a relaxed structure of NbRe2Cl at the PBE-GGA level of DFT.

Geometry as extended XYZ:
```
4
Lattice="0.000 3.198 3.198 3.198 0.000 3.198 3.198 3.198 0.000" Properties=species:S:1:pos:R:3 pbc="T T T"
Nb 0.000 0.000 0.000
Re 1.599 1.599 1.599
Re 4.797 4.797 4.797
Cl 3.198 3.198 3.198
```

***

*x*
Computed, not measured: a relaxed structure of NbRe2Cl at the PBE-GGA level of DFT.

Geometry as extended XYZ:
```
8
Lattice="-3.545 3.545 2.603 3.545 -3.545 2.603 3.545 3.545 -2.603" Properties=species:S:1:pos:R:3 pbc="T T T"
Nb 0.000 0.000 0.000
Nb 0.000 3.545 1.301
Re 1.772 -1.307 1.952
Re 2.238 1.772 0.651
Re 1.772 4.851 -0.651
Re 1.307 1.772 3.253
Cl 3.545 0.000 1.301
Cl 0.000 0.000 2.603
```

***

How far above the most stable structure does each one sit? In meV/atom: *w* 8; *x* 0.

***

*w*
Computed, not measured: a relaxed structure of NbReSCl2 at the PBE-GGA level of DFT.

Geometry as extended XYZ:
```
5
Lattice="4.968 0.000 0.000 0.000 4.968 0.000 0.000 0.000 4.847" Properties=species:S:1:pos:R:3 pbc="T T T"
Nb 0.000 0.000 0.000
Re 2.484 2.484 2.424
S 0.000 0.000 2.424
Cl 0.000 2.484 0.000
Cl 2.484 0.000 0.000
```

***

*x*
Computed, not measured: a relaxed structure of NbReSCl2 at the PBE-GGA level of DFT.

Geometry as extended XYZ:
```
5
Lattice="4.930 0.000 0.000 0.000 4.930 0.000 0.000 0.000 4.467" Properties=species:S:1:pos:R:3 pbc="T T T"
Nb 0.000 0.000 0.000
Re 2.465 2.465 2.234
S 2.465 2.465 0.000
Cl 0.000 2.465 2.234
Cl 2.465 0.000 2.234
```

***

How far above the most stable structure does each one sit? In meV/atom: *w* 0; *x* 110.

***

*w*
Computed, not measured: a relaxed structure of NbRhCl2 at the PBE-GGA level of DFT.

Geometry as extended XYZ:
```
4
Lattice="1.553 0.896 8.266 -1.553 0.896 8.266 0.000 -1.793 8.266" Properties=species:S:1:pos:R:3 pbc="T T T"
Nb 0.000 0.000 0.000
Rh 0.000 0.000 12.399
Cl 0.000 0.000 10.074
Cl 0.000 0.000 14.723
```

***

*x*
Computed, not measured: a relaxed structure of NbRhCl2 at the PBE-GGA level of DFT.

Geometry as extended XYZ:
```
8
Lattice="-2.914 2.914 4.828 2.914 -2.914 4.828 2.914 2.914 -4.828" Properties=species:S:1:pos:R:3 pbc="T T T"
Nb 0.000 0.000 0.000
Nb 0.000 2.914 2.414
Rh 2.914 0.000 2.414
Rh 0.000 0.000 4.828
Cl 1.457 -1.445 3.621
Cl 1.469 1.457 1.207
Cl 1.457 4.359 -1.207
Cl 1.445 1.457 6.036
```

***

How far above the most stable structure does each one sit? In meV/atom: *w* 0; *x* 592.

***

*w*
Computed, not measured: a relaxed structure of NbRuCl3 at the PBE-GGA level of DFT.

Geometry as extended XYZ:
```
5
Lattice="4.746 0.000 0.000 0.000 4.746 0.000 0.000 0.000 4.746" Properties=species:S:1:pos:R:3 pbc="T T T"
Nb 0.000 0.000 0.000
Ru 2.373 2.373 2.373
Cl 0.000 2.373 2.373
Cl 2.373 0.000 2.373
Cl 2.373 2.373 0.000
```

***

*x*
Computed, not measured: a relaxed structure of NbRuCl3 at the PBE-GGA level of DFT.

Geometry as extended XYZ:
```
5
Lattice="4.858 0.000 0.000 0.000 4.858 0.000 0.000 0.000 4.858" Properties=species:S:1:pos:R:3 pbc="T T T"
Nb 0.000 0.000 0.000
Ru 2.429 2.429 2.429
Cl 0.000 0.000 2.429
Cl 0.000 2.429 0.000
Cl 2.429 0.000 0.000
```

***

How far above the most stable structure does each one sit? In meV/atom: *w* 0; *x* 59.

***

*w*
Computed, not measured: a relaxed structure of Nb3RuCl at the PBE-GGA level of DFT.

Geometry as extended XYZ:
```
5
Lattice="4.877 0.000 0.000 0.000 4.877 0.000 0.000 0.000 4.877" Properties=species:S:1:pos:R:3 pbc="T T T"
Nb 0.000 0.000 2.439
Nb 0.000 2.439 0.000
Nb 2.439 0.000 0.000
Ru 0.000 0.000 0.000
Cl 2.439 2.439 2.439
```

***

*x*
Computed, not measured: a relaxed structure of Nb3RuCl at the PBE-GGA level of DFT.

Geometry as extended XYZ:
```
5
Lattice="4.504 0.000 0.000 0.000 4.504 0.000 0.000 0.000 4.504" Properties=species:S:1:pos:R:3 pbc="T T T"
Nb 0.000 0.000 2.252
Nb 0.000 2.252 0.000
Nb 2.252 0.000 0.000
Ru 2.252 2.252 2.252
Cl 0.000 0.000 0.000
```

***

How far above the most stable structure does each one sit? In meV/atom: *w* 317; *x* 0.

***

*w*
Computed, not measured: a relaxed structure of NbS3Cl at the PBE-GGA level of DFT.

Geometry as extended XYZ:
```
10
Lattice="3.450 0.000 0.000 0.932 7.034 0.000 1.020 2.303 10.457" Properties=species:S:1:pos:R:3 pbc="T T T"
Nb 1.401 3.314 1.874
Nb 4.001 6.023 8.583
S 0.901 3.123 4.391
S 2.047 7.436 7.319
S 2.314 7.020 10.086
S 3.088 2.317 0.371
S 3.355 1.901 3.138
S 4.501 6.214 6.066
Cl 2.354 4.168 8.124
Cl 3.048 5.169 2.333
```

***

*x*
Computed, not measured: a relaxed structure of NbS3Cl at the PBE-GGA level of DFT.

Geometry as extended XYZ:
```
5
Lattice="4.552 0.000 0.000 0.000 4.552 0.000 0.000 0.000 4.552" Properties=species:S:1:pos:R:3 pbc="T T T"
Nb 0.000 0.000 0.000
S 0.000 2.276 2.276
S 2.276 0.000 2.276
S 2.276 2.276 0.000
Cl 2.276 2.276 2.276
```

***

*y*
Computed, not measured: a relaxed structure of NbS3Cl at the PBE-GGA level of DFT.

Geometry as extended XYZ:
```
10
Lattice="-2.398 2.398 9.775 2.398 -2.398 9.775 2.398 2.398 -9.775" Properties=species:S:1:pos:R:3 pbc="T T T"
Nb 0.000 0.000 0.000
Nb 0.000 2.398 4.888
S 2.398 0.000 0.500
S 0.000 1.006 2.655
S 2.398 0.000 9.275
S -1.391 2.398 7.120
S 1.391 2.398 7.120
S 0.000 3.789 2.655
Cl 0.000 0.000 5.563
Cl 0.000 0.000 13.988
```

***

How far above the most stable structure does each one sit? In meV/atom: *w* 0; *x* 1789; *y* 399.

***

*w*
Computed, not measured: a relaxed structure of NbSCl2 at the PBE-GGA level of DFT.

Geometry as extended XYZ:
```
4
Lattice="1.587 0.916 11.886 -1.587 0.916 11.886 0.000 -1.833 11.886" Properties=species:S:1:pos:R:3 pbc="T T T"
Nb 0.000 0.000 0.000
S 0.000 0.000 17.829
Cl 0.000 0.000 2.267
Cl 0.000 0.000 33.391
```

***

*x*
Computed, not measured: a relaxed structure of NbSCl2 at the PBE-GGA level of DFT.

Geometry as extended XYZ:
```
8
Lattice="7.002 -2.441 0.000 7.002 2.441 0.000 -1.525 0.000 6.453" Properties=species:S:1:pos:R:3 pbc="T T T"
Nb 5.858 2.220 4.840
Nb 6.621 -2.220 1.613
S 5.858 0.006 4.840
S 6.621 -0.006 1.613
Cl 1.814 0.002 0.428
Cl 1.051 -0.002 3.655
Cl 11.428 0.002 2.798
Cl 10.665 -0.002 6.025
```

***

How far above the most stable structure does each one sit? In meV/atom: *w* 1187; *x* 0.

***

*w*
Computed, not measured: a relaxed structure of NbSCl2 at the PBE-GGA level of DFT.

Geometry as extended XYZ:
```
4
Lattice="1.545 0.892 10.804 -1.545 0.892 10.804 0.000 -1.785 10.804" Properties=species:S:1:pos:R:3 pbc="T T T"
Nb 0.000 0.000 0.000
S 0.000 0.000 16.206
Cl 0.000 0.000 12.600
Cl 0.000 0.000 19.812
```

***

*x*
Computed, not measured: a relaxed structure of NbSCl2 at the PBE-GGA level of DFT.

Geometry as extended XYZ:
```
8
Lattice="-4.571 4.571 2.369 4.571 -4.571 2.369 4.571 4.571 -2.369" Properties=species:S:1:pos:R:3 pbc="T T T"
Nb 0.000 0.000 0.000
Nb 0.000 4.571 1.184
S 4.571 0.000 1.184
S 0.000 0.000 2.369
Cl 0.964 2.286 0.592
Cl -2.286 3.607 1.777
Cl -0.964 6.857 0.592
Cl 2.286 5.535 1.777
```

***

How far above the most stable structure does each one sit? In meV/atom: *w* 444; *x* 0.